# NiSn2Ru, relaxed, DFT PBE-GGA
data_NiSn2Ru
_symmetry_space_group_name_H-M 'P 1'
_symmetry_Int_Tables_number 1
_cell_length_a 3.153
_cell_length_b 4.611
_cell_length_c 4.611
_cell_angle_alpha 90.00
_cell_angle_beta 90.00
_cell_angle_gamma 90.00
loop_
_symmetry_equiv_pos_as_xyz
'x,y,z'
loop_
_atom_site_label
_atom_site_type_symbol
_atom_site_fract_x
_atom_site_fract_y
_atom_site_fract_z
_atom_site_occupancy
Ru1 Ru 0.500 0.000 0.000 1
Sn1 Sn 0.000 0.000 0.500 1
Sn2 Sn 0.000 0.500 0.000 1
Ni1 Ni 0.500 0.500 0.500 1
# formation energy from the elements: 20.0 meV/atom

=====

# SnPN2O, relaxed, DFT PBE-GGA
data_SnPN2O
_symmetry_space_group_name_H-M 'P 1'
_symmetry_Int_Tables_number 1
_cell_length_a 4.205
_cell_length_b 4.205
_cell_length_c 3.961
_cell_angle_alpha 90.00
_cell_angle_beta 90.00
_cell_angle_gamma 90.00
loop_
_symmetry_equiv_pos_as_xyz
'x,y,z'
loop_
_atom_site_label
_atom_site_type_symbol
_atom_site_fract_x
_atom_site_fract_y
_atom_site_fract_z
_atom_site_occupancy
P1 P 0.500 0.500 0.500 1
Sn1 Sn 0.000 0.000 0.000 1
O1 O 0.000 0.000 0.500 1
N1 N 0.000 0.500 0.000 1
N2 N 0.500 0.000 0.000 1
# E_form (uncorrected): 29.7 kcal/mol of atoms

=====

# LaZn2Cu9, relaxed, DFT PBE-GGA
data_LaZn2Cu9
_symmetry_space_group_name_H-M 'P 1'
_symmetry_Int_Tables_number 1
_cell_length_a 6.655
_cell_length_b 7.953
_cell_length_c 7.953
_cell_angle_alpha 79.92
_cell_angle_beta 65.27
_cell_angle_gamma 65.27
loop_
_symmetry_equiv_pos_as_xyz
'x,y,z'
loop_
_atom_site_label
_atom_site_type_symbol
_atom_site_fract_x
_atom_site_fract_y
_atom_site_fract_z
_atom_site_occupancy
La1 La 0.500 0.000 0.000 1
La2 La 0.250 0.500 0.500 1
Zn1 Zn 0.875 0.250 0.750 1
Zn2 Zn 0.875 0.750 0.250 1
Zn3 Zn 0.875 0.250 0.250 1
Zn4 Zn 0.375 0.750 0.750 1
Cu1 Cu 0.750 0.500 0.500 1
Cu2 Cu 0.000 0.000 0.000 1
Cu3 Cu 0.016 0.915 0.668 1
Cu4 Cu 0.599 0.085 0.332 1
Cu5 Cu 0.681 0.168 0.585 1
Cu6 Cu 0.434 0.832 0.415 1
Cu7 Cu 0.734 0.832 0.585 1
Cu8 Cu 0.151 0.168 0.415 1
Cu9 Cu 0.069 0.915 0.332 1
Cu10 Cu 0.316 0.085 0.668 1
Cu11 Cu 0.734 0.585 0.832 1
Cu12 Cu 0.151 0.415 0.168 1
Cu13 Cu 0.069 0.332 0.915 1
Cu14 Cu 0.316 0.668 0.085 1
Cu15 Cu 0.016 0.668 0.915 1
Cu16 Cu 0.599 0.332 0.085 1
Cu17 Cu 0.681 0.585 0.168 1
Cu18 Cu 0.434 0.415 0.832 1
# formation energy from the elements: -116.7 meV/atom

=====

# Zn2HgBi, relaxed, DFT PBE-GGA
data_Zn2HgBi
_symmetry_space_group_name_H-M 'P 1'
_symmetry_Int_Tables_number 1
_cell_length_a 3.591
_cell_length_b 3.591
_cell_length_c 6.975
_cell_angle_alpha 90.00
_cell_angle_beta 90.00
_cell_angle_gamma 90.00
loop_
_symmetry_equiv_pos_as_xyz
'x,y,z'
loop_
_atom_site_label
_atom_site_type_symbol
_atom_site_fract_x
_atom_site_fract_y
_atom_site_fract_z
_atom_site_occupancy
Zn1 Zn 0.000 0.000 0.789 1
Zn2 Zn 0.000 0.000 0.211 1
Bi1 Bi 0.500 0.500 0.500 1
Hg1 Hg 0.500 0.500 0.000 1
# formation energy from the elements: 185.0 meV/atom
# ΔE to the lowest computed polymorph: 42 meV/atom

=====

# Mg3Cd, relaxed, DFT PBE-GGA
data_Mg3Cd
_symmetry_space_group_name_H-M 'P 1'
_symmetry_Int_Tables_number 1
_cell_length_a 5.859
_cell_length_b 5.859
_cell_length_c 5.859
_cell_angle_alpha 116.99
_cell_angle_beta 116.99
_cell_angle_gamma 116.99
loop_
_symmetry_equiv_pos_as_xyz
'x,y,z'
loop_
_atom_site_label
_atom_site_type_symbol
_atom_site_fract_x
_atom_site_fract_y
_atom_site_fract_z
_atom_site_occupancy
Mg1 Mg 0.000 0.500 0.500 1
Mg2 Mg 0.500 0.000 0.500 1
Mg3 Mg 0.500 0.500 0.000 1
Cd1 Cd 0.000 0.000 0.000 1
# formation energy from the elements: -11.7 meV/atom

=====

# Na3MgSb3Se8, relaxed, DFT PBE-GGA
data_Na3MgSb3Se8
_symmetry_space_group_name_H-M 'P 1'
_symmetry_Int_Tables_number 1
_cell_length_a 8.006
_cell_length_b 8.006
_cell_length_c 8.639
_cell_angle_alpha 117.61
_cell_angle_beta 90.00
_cell_angle_gamma 120.00
loop_
_symmetry_equiv_pos_as_xyz
'x,y,z'
loop_
_atom_site_label
_atom_site_type_symbol
_atom_site_fract_x
_atom_site_fract_y
_atom_site_fract_z
_atom_site_occupancy
Na1 Na 0.000 0.000 0.000 1
Na2 Na 0.000 0.500 0.000 1
Na3 Na 0.500 0.500 0.000 1
Mg1 Mg 0.000 0.000 0.500 1
Sb1 Sb 0.500 0.000 0.500 1
Sb2 Sb 0.500 0.500 0.500 1
Sb3 Sb 0.000 0.500 0.500 1
Se1 Se 0.256 0.512 0.271 1
Se2 Se 0.744 0.488 0.729 1
Se3 Se 0.767 0.534 0.284 1
Se4 Se 0.233 0.466 0.716 1
Se5 Se 0.767 0.017 0.284 1
Se6 Se 0.233 0.983 0.716 1
Se7 Se 0.249 0.017 0.284 1
Se8 Se 0.751 0.983 0.716 1
# E_form (uncorrected): -14.3 kcal/mol of atoms

=====

# CeCo4B, relaxed, DFT PBE-GGA
data_CeCo4B
_symmetry_space_group_name_H-M 'P 1'
_symmetry_Int_Tables_number 1
_cell_length_a 4.993
_cell_length_b 4.993
_cell_length_c 6.894
_cell_angle_alpha 90.00
_cell_angle_beta 90.00
_cell_angle_gamma 120.00
loop_
_symmetry_equiv_pos_as_xyz
'x,y,z'
loop_
_atom_site_label
_atom_site_type_symbol
_atom_site_fract_x
_atom_site_fract_y
_atom_site_fract_z
_atom_site_occupancy
Ce1 Ce 0.000 0.000 0.500 1
Ce2 Ce 0.000 0.000 0.000 1
Co1 Co 0.333 0.667 0.000 1
Co2 Co 0.667 0.333 0.000 1
Co3 Co 0.500 0.000 0.290 1
Co4 Co 0.500 0.500 0.290 1
Co5 Co 0.000 0.500 0.290 1
Co6 Co 0.500 0.000 0.710 1
Co7 Co 0.500 0.500 0.710 1
Co8 Co 0.000 0.500 0.710 1
B1 B 0.667 0.333 0.500 1
B2 B 0.333 0.667 0.500 1
# formation energy from the elements: -314.6 meV/atom
# ΔE to the lowest computed polymorph: 0 meV/atom

=====

# NdSc2Bi2, relaxed, DFT PBE-GGA
data_NdSc2Bi2
_symmetry_space_group_name_H-M 'P 1'
_symmetry_Int_Tables_number 1
_cell_length_a 7.886
_cell_length_b 7.886
_cell_length_c 7.316
_cell_angle_alpha 118.65
_cell_angle_beta 118.65
_cell_angle_gamma 95.47
loop_
_symmetry_equiv_pos_as_xyz
'x,y,z'
loop_
_atom_site_label
_atom_site_type_symbol
_atom_site_fract_x
_atom_site_fract_y
_atom_site_fract_z
_atom_site_occupancy
Nd1 Nd 0.876 0.624 0.750 1
Nd2 Nd 0.124 0.376 0.250 1
Sc1 Sc 0.227 0.974 0.455 1
Sc2 Sc 0.474 0.727 0.955 1
Sc3 Sc 0.773 0.026 0.545 1
Sc4 Sc 0.526 0.273 0.045 1
Bi1 Bi 0.152 0.348 0.750 1
Bi2 Bi 0.399 0.101 0.250 1
Bi3 Bi 0.601 0.899 0.750 1
Bi4 Bi 0.848 0.652 0.250 1
# formation energy from the elements: -376.3 meV/atom

=====

# Ac4In3Ga, relaxed, DFT PBE-GGA
data_Ac4In3Ga
_symmetry_space_group_name_H-M 'P 1'
_symmetry_Int_Tables_number 1
_cell_length_a 4.040
_cell_length_b 4.040
_cell_length_c 16.418
_cell_angle_alpha 90.00
_cell_angle_beta 90.00
_cell_angle_gamma 90.00
loop_
_symmetry_equiv_pos_as_xyz
'x,y,z'
loop_
_atom_site_label
_atom_site_type_symbol
_atom_site_fract_x
_atom_site_fract_y
_atom_site_fract_z
_atom_site_occupancy
Ac1 Ac 0.000 0.000 0.885 1
Ac2 Ac 0.000 0.000 0.115 1
Ac3 Ac 0.000 0.000 0.372 1
Ac4 Ac 0.000 0.000 0.628 1
Ga1 Ga 0.500 0.500 0.000 1
In1 In 0.500 0.500 0.244 1
In2 In 0.500 0.500 0.500 1
In3 In 0.500 0.500 0.756 1
# formation energy from the elements: -423.9 meV/atom

=====

# CeSn2Au4, relaxed, DFT PBE-GGA
data_CeSn2Au4
_symmetry_space_group_name_H-M 'P 1'
_symmetry_Int_Tables_number 1
_cell_length_a 4.705
_cell_length_b 4.705
_cell_length_c 8.960
_cell_angle_alpha 74.61
_cell_angle_beta 74.61
_cell_angle_gamma 59.97
loop_
_symmetry_equiv_pos_as_xyz
'x,y,z'
loop_
_atom_site_label
_atom_site_type_symbol
_atom_site_fract_x
_atom_site_fract_y
_atom_site_fract_z
_atom_site_occupancy
Ce1 Ce 0.000 0.000 0.000 1
Sn1 Sn 0.759 0.759 0.728 1
Sn2 Sn 0.241 0.241 0.272 1
Au1 Au 0.864 0.864 0.401 1
Au2 Au 0.136 0.136 0.599 1
Au3 Au 0.605 0.605 0.182 1
Au4 Au 0.395 0.395 0.818 1
# formation energy from the elements: -371.6 meV/atom

=====

# Mn2BeTe, relaxed, DFT PBE-GGA
data_Mn2BeTe
_symmetry_space_group_name_H-M 'P 1'
_symmetry_Int_Tables_number 1
_cell_length_a 3.266
_cell_length_b 3.266
_cell_length_c 5.610
_cell_angle_alpha 90.00
_cell_angle_beta 90.00
_cell_angle_gamma 90.00
loop_
_symmetry_equiv_pos_as_xyz
'x,y,z'
loop_
_atom_site_label
_atom_site_type_symbol
_atom_site_fract_x
_atom_site_fract_y
_atom_site_fract_z
_atom_site_occupancy
Be1 Be 0.500 0.500 0.750 1
Te1 Te 0.500 0.500 0.250 1
Mn1 Mn 0.000 0.000 0.974 1
Mn2 Mn 0.000 0.000 0.526 1
# ΔE to the lowest computed polymorph: 106 meV/atom
# E_form (uncorrected): 9.0 kcal/mol of atoms

=====

# PrHo6Er12, relaxed, DFT PBE-GGA
data_PrHo6Er12
_symmetry_space_group_name_H-M 'P 1'
_symmetry_Int_Tables_number 1
_cell_length_a 8.463
_cell_length_b 8.463
_cell_length_c 8.463
_cell_angle_alpha 88.36
_cell_angle_beta 88.36
_cell_angle_gamma 88.36
loop_
_symmetry_equiv_pos_as_xyz
'x,y,z'
loop_
_atom_site_label
_atom_site_type_symbol
_atom_site_fract_x
_atom_site_fract_y
_atom_site_fract_z
_atom_site_occupancy
Pr1 Pr 0.000 0.000 0.000 1
Ho1 Ho 0.745 0.910 0.316 1
Ho2 Ho 0.684 0.255 0.090 1
Ho3 Ho 0.090 0.684 0.255 1
Ho4 Ho 0.255 0.090 0.684 1
Ho5 Ho 0.316 0.745 0.910 1
Ho6 Ho 0.910 0.316 0.745 1
Er1 Er 0.772 0.546 0.436 1
Er2 Er 0.436 0.772 0.546 1
Er3 Er 0.546 0.436 0.772 1
Er4 Er 0.228 0.454 0.564 1
Er5 Er 0.564 0.228 0.454 1
Er6 Er 0.454 0.564 0.228 1
Er7 Er 0.007 0.215 0.354 1
Er8 Er 0.785 0.646 0.993 1
Er9 Er 0.646 0.993 0.785 1
Er10 Er 0.993 0.785 0.646 1
Er11 Er 0.215 0.354 0.007 1
Er12 Er 0.354 0.007 0.215 1
# formation energy from the elements: 160.9 meV/atom
# ΔE to the lowest computed polymorph: 0 meV/atom

=====

What did the third record say?
# LaZn2Cu9, relaxed, DFT PBE-GGA
data_LaZn2Cu9
_symmetry_space_group_name_H-M 'P 1'
_symmetry_Int_Tables_number 1
_cell_length_a 6.655
_cell_length_b 7.953
_cell_length_c 7.953
_cell_angle_alpha 79.92
_cell_angle_beta 65.27
_cell_angle_gamma 65.27
loop_
_symmetry_equiv_pos_as_xyz
'x,y,z'
loop_
_atom_site_label
_atom_site_type_symbol
_atom_site_fract_x
_atom_site_fract_y
_atom_site_fract_z
_atom_site_occupancy
La1 La 0.500 0.000 0.000 1
La2 La 0.250 0.500 0.500 1
Zn1 Zn 0.875 0.250 0.750 1
Zn2 Zn 0.875 0.750 0.250 1
Zn3 Zn 0.875 0.250 0.250 1
Zn4 Zn 0.375 0.750 0.750 1
Cu1 Cu 0.750 0.500 0.500 1
Cu2 Cu 0.000 0.000 0.000 1
Cu3 Cu 0.016 0.915 0.668 1
Cu4 Cu 0.599 0.085 0.332 1
Cu5 Cu 0.681 0.168 0.585 1
Cu6 Cu 0.434 0.832 0.415 1
Cu7 Cu 0.734 0.832 0.585 1
Cu8 Cu 0.151 0.168 0.415 1
Cu9 Cu 0.069 0.915 0.332 1
Cu10 Cu 0.316 0.085 0.668 1
Cu11 Cu 0.734 0.585 0.832 1
Cu12 Cu 0.151 0.415 0.168 1
Cu13 Cu 0.069 0.332 0.915 1
Cu14 Cu 0.316 0.668 0.085 1
Cu15 Cu 0.016 0.668 0.915 1
Cu16 Cu 0.599 0.332 0.085 1
Cu17 Cu 0.681 0.585 0.168 1
Cu18 Cu 0.434 0.415 0.832 1
# formation energy from the elements: -116.7 meV/atom